A | First-principles (PBE-GGA) data for DySc4In after structural relaxation, as listed in Alexandria via LeMat-Bulk.

Lattice parameters (Å, degrees): 9.524 9.524 6.755 90.00 90.00 149.60
Atoms (fractional coordinates):
Dy1 0.123 0.877 0.750
Dy2 0.877 0.123 0.250
Sc1 0.061 0.939 0.250
Sc2 0.334 0.666 0.533
Sc3 0.334 0.666 0.967
Sc4 0.500 0.500 0.000
Sc5 0.500 0.500 0.500
Sc6 0.666 0.334 0.033
Sc7 0.666 0.334 0.467
Sc8 0.939 0.061 0.750
In1 0.217 0.783 0.250
In2 0.783 0.217 0.750

**DOS(E_F)**: 7.897 states/eV/f.u.

***

B | First-principles (PBE-GGA) data for DySc4In after structural relaxation, as listed in Alexandria via LeMat-Bulk.

Lattice parameters (Å, degrees): 5.703 5.703 5.592 98.49 98.49 120.99
Atoms (fractional coordinates):
Dy1 0.000 0.000 0.000
Sc1 0.171 0.829 0.500
Sc2 0.335 0.665 0.000
Sc3 0.665 0.335 0.000
Sc4 0.829 0.171 0.500
In1 0.500 0.500 0.500

**DOS(E_F)**: 10.305 states/eV/f.u.

***

The least stable of them is A.

***

A | First-principles (PBE-GGA) data for TbDyScIn after structural relaxation, as listed in Alexandria via LeMat-Bulk.

Lattice parameters (Å, degrees): 5.350 5.350 5.350 60.00 60.00 60.00
Atoms (fractional coordinates):
Tb1 0.000 0.000 0.000
Dy1 0.500 0.500 0.500
Sc1 0.750 0.750 0.750
In1 0.250 0.250 0.250

**DOS(E_F)**: 6.048 states/eV/f.u.

***

B | First-principles (PBE-GGA) data for TbDyScIn after structural relaxation, as listed in Alexandria via LeMat-Bulk.

Lattice parameters (Å, degrees): 4.735 4.748 4.752 90.00 90.00 90.00
Atoms (fractional coordinates):
Tb1 0.000 0.000 0.000
Dy1 0.000 0.500 0.500
Sc1 0.500 0.500 0.000
In1 0.500 0.000 0.500

**DOS(E_F)**: 5.403 states/eV/f.u.

***

The least stable of them is A.

***

A | First-principles (PBE-GGA) data for DyScZnIn after structural relaxation, as listed in Alexandria via LeMat-Bulk.

Lattice parameters (Å, degrees): 3.539 3.539 7.192 90.00 90.00 90.00
Atoms (fractional coordinates):
Dy1 0.000 0.000 0.000
Sc1 0.000 0.000 0.460
Zn1 0.500 0.500 0.255
In1 0.500 0.500 0.711

**DOS(E_F)**: 3.080 states/eV/f.u.

***

B | First-principles (PBE-GGA) data for DyScZnIn after structural relaxation, as listed in Alexandria via LeMat-Bulk.

Lattice parameters (Å, degrees): 5.052 5.052 5.052 60.00 60.00 60.00
Atoms (fractional coordinates):
Dy1 0.000 0.000 0.000
Sc1 0.500 0.500 0.500
Zn1 0.250 0.250 0.250
In1 0.750 0.750 0.750

**DOS(E_F)**: 3.822 states/eV/f.u.

***

The least stable of them is B.

***

A | First-principles (PBE-GGA) data for Sm7Dy4In after structural relaxation, as listed in Alexandria via LeMat-Bulk.

Lattice parameters (Å, degrees): 6.556 6.753 9.085 85.42 76.83 82.23
Atoms (fractional coordinates):
Sm1 0.000 0.000 0.000
Sm2 0.153 0.604 0.318
Sm3 0.198 0.096 0.392
Sm4 0.466 0.254 0.049
Sm5 0.534 0.746 0.951
Sm6 0.802 0.904 0.608
Sm7 0.847 0.396 0.682
Dy1 0.307 0.698 0.651
Dy2 0.365 0.194 0.718
Dy3 0.635 0.806 0.282
Dy4 0.693 0.302 0.349
In1 0.000 0.500 0.000

**DOS(E_F)**: 15.556 states/eV/f.u.

***

B | First-principles (PBE-GGA) data for Sm7Dy4In after structural relaxation, as listed in Alexandria via LeMat-Bulk.

Lattice parameters (Å, degrees): 8.732 8.732 9.270 115.05 115.05 39.88
Atoms (fractional coordinates):
Sm1 0.000 0.000 0.000
Sm2 0.287 0.287 0.131
Sm3 0.297 0.297 0.787
Sm4 0.426 0.426 0.585
Sm5 0.574 0.574 0.415
Sm6 0.703 0.703 0.213
Sm7 0.713 0.713 0.869
Dy1 0.078 0.078 0.693
Dy2 0.180 0.180 0.400
Dy3 0.820 0.820 0.600
Dy4 0.922 0.922 0.307
In1 0.500 0.500 0.000

**DOS(E_F)**: 18.650 states/eV/f.u.

***

The least stable of them is B.

***

A | First-principles (PBE-GGA) data for SmDy3In after structural relaxation, as listed in Alexandria via LeMat-Bulk.

Lattice parameters (Å, degrees): 9.889 9.889 6.445 100.50 100.50 83.92
Atoms (fractional coordinates):
Sm1 0.040 0.168 0.477
Sm2 0.168 0.040 0.977
Sm3 0.832 0.960 0.023
Sm4 0.960 0.832 0.523
Dy1 0.101 0.706 0.004
Dy2 0.125 0.504 0.369
Dy3 0.236 0.374 0.870
Dy4 0.294 0.899 0.496
Dy5 0.374 0.236 0.370
Dy6 0.496 0.875 0.131
Dy7 0.504 0.125 0.869
Dy8 0.626 0.764 0.630
Dy9 0.706 0.101 0.504
Dy10 0.764 0.626 0.130
Dy11 0.875 0.496 0.631
Dy12 0.899 0.294 0.996
In1 0.361 0.639 0.750
In2 0.408 0.592 0.250
In3 0.592 0.408 0.750
In4 0.639 0.361 0.250

**DOS(E_F)**: 6.705 states/eV/f.u.

***

B | First-principles (PBE-GGA) data for SmDy3In after structural relaxation, as listed in Alexandria via LeMat-Bulk.

Lattice parameters (Å, degrees): 12.843 12.843 4.840 90.00 90.00 158.24
Atoms (fractional coordinates):
Sm1 0.149 0.851 0.750
Sm2 0.851 0.149 0.250
Dy1 0.048 0.952 0.250
Dy2 0.250 0.750 0.250
Dy3 0.448 0.552 0.250
Dy4 0.552 0.448 0.750
Dy5 0.750 0.250 0.750
Dy6 0.952 0.048 0.750
In1 0.347 0.653 0.750
In2 0.653 0.347 0.250

**DOS(E_F)**: 6.709 states/eV/f.u.

***

The least stable of them is A.

***

A | First-principles (PBE-GGA) data for SmDy3In4 after structural relaxation, as listed in Alexandria via LeMat-Bulk.

Lattice parameters (Å, degrees): 10.203 10.203 10.203 160.52 139.08 45.70
Atoms (fractional coordinates):
Sm1 0.000 0.000 0.000
Dy1 0.220 0.720 0.500
Dy2 0.500 0.500 0.000
Dy3 0.780 0.280 0.500
In1 0.161 0.872 0.289
In2 0.417 0.128 0.289
In3 0.583 0.872 0.711
In4 0.839 0.128 0.711

**DOS(E_F)**: 6.654 states/eV/f.u.

***

B | First-principles (PBE-GGA) data for SmDy3In4 after structural relaxation, as listed in Alexandria via LeMat-Bulk.

Lattice parameters (Å, degrees): 5.346 5.346 7.526 90.00 90.00 90.00
Atoms (fractional coordinates):
Sm1 0.000 0.000 0.000
Dy1 0.000 0.000 0.500
Dy2 0.500 0.500 0.000
Dy3 0.500 0.500 0.500
In1 0.000 0.500 0.254
In2 0.000 0.500 0.746
In3 0.500 0.000 0.254
In4 0.500 0.000 0.746

**DOS(E_F)**: 3.421 states/eV/f.u.

***

The least stable of them is A.

***

A | First-principles (PBE-GGA) data for Sm5Dy2In after structural relaxation, as listed in Alexandria via LeMat-Bulk.

Lattice parameters (Å, degrees): 7.066 7.066 7.066 119.39 91.06 119.39
Atoms (fractional coordinates):
Sm1 0.000 0.000 0.000
Sm2 0.000 0.000 0.500
Sm3 0.000 0.500 0.000
Sm4 0.500 0.000 0.000
Sm5 0.500 0.500 0.500
Dy1 0.001 0.501 0.500
Dy2 0.499 0.499 0.000
In1 0.500 0.000 0.500

**DOS(E_F)**: 10.435 states/eV/f.u.

***

B | First-principles (PBE-GGA) data for Sm5Dy2In after structural relaxation, as listed in Alexandria via LeMat-Bulk.

Lattice parameters (Å, degrees): 10.778 10.778 10.778 153.37 153.37 38.01
Atoms (fractional coordinates):
Sm1 0.000 0.000 0.000
Sm2 0.123 0.623 0.500
Sm3 0.377 0.877 0.500
Sm4 0.623 0.123 0.500
Sm5 0.877 0.377 0.500
Dy1 0.248 0.248 0.000
Dy2 0.752 0.752 0.000
In1 0.500 0.500 0.000

**DOS(E_F)**: 10.950 states/eV/f.u.

***

The least stable of them is A.

***

A | First-principles (PBE-GGA) data for Sm8Dy2In after structural relaxation, as listed in Alexandria via LeMat-Bulk.

Lattice parameters (Å, degrees): 9.444 9.444 8.025 105.08 105.08 30.82
Atoms (fractional coordinates):
Sm1 0.045 0.045 0.227
Sm2 0.136 0.136 0.678
Sm3 0.320 0.320 0.591
Sm4 0.410 0.410 0.057
Sm5 0.590 0.590 0.943
Sm6 0.680 0.680 0.409
Sm7 0.864 0.864 0.322
Sm8 0.955 0.955 0.773
Dy1 0.224 0.224 0.134
Dy2 0.776 0.776 0.866
In1 0.500 0.500 0.500

**DOS(E_F)**: 14.653 states/eV/f.u.

***

B | First-principles (PBE-GGA) data for Sm8Dy2In after structural relaxation, as listed in Alexandria via LeMat-Bulk.

Lattice parameters (Å, degrees): 9.881 9.881 9.881 147.58 134.28 57.16
Atoms (fractional coordinates):
Sm1 0.136 0.363 0.773
Sm2 0.179 0.179 0.000
Sm3 0.261 0.000 0.261
Sm4 0.410 0.637 0.773
Sm5 0.590 0.363 0.227
Sm6 0.739 0.000 0.739
Sm7 0.821 0.821 0.000
Sm8 0.864 0.637 0.227
Dy1 0.307 0.807 0.500
Dy2 0.693 0.193 0.500
In1 0.000 0.500 0.500

**DOS(E_F)**: 17.586 states/eV/f.u.

***

The least stable of them is B.

***

A | First-principles (PBE-GGA) data for SmDyIn after structural relaxation, as listed in Alexandria via LeMat-Bulk.

Lattice parameters (Å, degrees): 5.266 5.266 3.674 90.00 90.00 120.00
Atoms (fractional coordinates):
Sm1 0.000 0.000 0.000
Dy1 0.333 0.667 0.557
In1 0.667 0.333 0.331

**DOS(E_F)**: 2.109 states/eV/f.u.

***

B | First-principles (PBE-GGA) data for SmDyIn after structural relaxation, as listed in Alexandria via LeMat-Bulk.

Lattice parameters (Å, degrees): 7.375 7.375 7.375 151.88 151.88 40.18
Atoms (fractional coordinates):
Sm1 0.000 0.000 0.000
Dy1 0.691 0.691 0.000
In1 0.341 0.341 0.000

**DOS(E_F)**: 2.965 states/eV/f.u.

***

The least stable of them is A.

***

A | First-principles (PBE-GGA) data for SmDyIn after structural relaxation, as listed in Alexandria via LeMat-Bulk.

Lattice parameters (Å, degrees): 6.004 6.004 6.004 145.44 135.44 57.58
Atoms (fractional coordinates):
Sm1 0.000 0.000 0.000
Dy1 0.310 0.310 0.000
In1 0.660 0.660 0.000

**DOS(E_F)**: 3.580 states/eV/f.u.

***

B | First-principles (PBE-GGA) data for SmDyIn after structural relaxation, as listed in Alexandria via LeMat-Bulk.

Lattice parameters (Å, degrees): 4.690 4.690 8.364 90.00 90.00 90.00
Atoms (fractional coordinates):
Sm1 0.250 0.250 0.148
Sm2 0.750 0.750 0.852
Dy1 0.250 0.750 0.500
Dy2 0.750 0.250 0.500
In1 0.250 0.250 0.766
In2 0.750 0.750 0.234

**DOS(E_F)**: 3.308 states/eV/f.u.

***

The least stable of them is A.

***

A | First-principles (PBE-GGA) data for Sm2Dy3In2 after structural relaxation, as listed in Alexandria via LeMat-Bulk.

Lattice parameters (Å, degrees): 12.458 12.458 3.456 90.00 90.00 157.82
Atoms (fractional coordinates):
Sm1 0.213 0.787 0.000
Sm2 0.787 0.213 0.000
Dy1 0.362 0.638 0.500
Dy2 0.500 0.500 0.500
Dy3 0.638 0.362 0.500
In1 0.071 0.929 0.000
In2 0.929 0.071 0.000

**DOS(E_F)**: 7.612 states/eV/f.u.

***

B | First-principles (PBE-GGA) data for Sm2Dy3In2 after structural relaxation, as listed in Alexandria via LeMat-Bulk.

Lattice parameters (Å, degrees): 5.426 5.426 8.678 108.25 108.25 60.06
Atoms (fractional coordinates):
Sm1 0.077 0.077 0.231
Sm2 0.923 0.923 0.769
Dy1 0.347 0.347 0.041
Dy2 0.500 0.500 0.500
Dy3 0.653 0.653 0.959
In1 0.217 0.217 0.651
In2 0.783 0.783 0.349

**DOS(E_F)**: 5.725 states/eV/f.u.

***

The least stable of them is A.

***

A | First-principles (PBE-GGA) data for SmDy4In after structural relaxation, as listed in Alexandria via LeMat-Bulk.

Lattice parameters (Å, degrees): 3.580 3.580 14.286 90.00 90.00 90.00
Atoms (fractional coordinates):
Sm1 0.000 0.000 0.000
Dy1 0.000 0.000 0.353
Dy2 0.000 0.000 0.647
Dy3 0.500 0.500 0.178
Dy4 0.500 0.500 0.822
In1 0.500 0.500 0.500

**DOS(E_F)**: 6.938 states/eV/f.u.

***

B | First-principles (PBE-GGA) data for SmDy4In after structural relaxation, as listed in Alexandria via LeMat-Bulk.

Lattice parameters (Å, degrees): 6.695 6.695 11.076 90.00 90.00 132.39
Atoms (fractional coordinates):
Sm1 0.180 0.820 0.500
Sm2 0.820 0.180 0.000
Dy1 0.021 0.979 0.786
Dy2 0.178 0.822 0.068
Dy3 0.321 0.679 0.784
Dy4 0.498 0.502 0.531
Dy5 0.502 0.498 0.031
Dy6 0.679 0.321 0.284
Dy7 0.822 0.178 0.568
Dy8 0.979 0.021 0.286
In1 0.352 0.648 0.279
In2 0.648 0.352 0.779

**DOS(E_F)**: 6.528 states/eV/f.u.

***

The least stable of them is B.